This record from Alexandria via LeMat-Bulk describes crystalline AlCuWO6 at its relaxed geometry. The functional is GGA+U.

Values from the calculation:
**Volume**: 188 Å³ per cell
**DOS at the Fermi energy**: 3.7 states/eV/f.u.
**VASP energy**: -0.247 hartree per atom

Lattice parameters (Å, degrees): 4.598 4.598 8.887 90.00 90.00 90.00
Space group P4_2nm (No. 102)
Inequivalent atoms, fractional coordinates:
Al 0.000 0.000 0.000 (multiplicity 2)
Cu 0.000 0.000 0.671 (multiplicity 2)
W 0.000 0.000 0.337 (multiplicity 2)
O 0.189 0.189 0.167 (multiplicity 4)
O 0.197 0.197 0.844 (multiplicity 4)
O 0.205 0.205 0.494 (multiplicity 4)